Computed, not measured: a crystal of RbCrGePt2 relaxed with PBEsol at the SCAN level of DFT.

Geometry as extended XYZ:
```
5
Lattice="4.777 0.000 0.000 0.000 4.777 0.000 0.000 0.000 4.871" Properties=species:S:1:pos:R:3 pbc="T T T"
Rb 0.000 0.000 0.000
Cr 2.389 2.389 0.000
Ge 2.389 2.389 2.435
Pt 0.000 2.389 2.435
Pt 2.389 0.000 2.435
```

D(E_F): 3.70 states/eV/cell
ΔH_f (0 K): 0.23 eV/atom